Record 1
A relaxed structure of EuHoCuSn, computed with PBE.

Output
Crystal system = cubic
Magnetic moment = 1.815 μB/atom
Energy of formation = -0.406 eV per atom
ρ = 8100 kg/m3

Cell lengths 5.250, 5.250, 5.250 Å; angles 60.00, 60.00, 60.00 degrees
Fractional coordinates of all 4 atoms:
Eu  0.000  0.000  0.000
Ho  0.500  0.500  0.500
Cu  0.250  0.250  0.250
Sn  0.750  0.750  0.750



Record 2
A relaxed structure of Rb3TaCu, computed with PBE.

Output
Crystal system = cubic
Magnetic moment = 1.000 μB/atom
Energy of formation = 1.583 eV per atom
ρ = 2532 kg/m3

Cell lengths 6.900, 6.900, 6.900 Å; angles 90.00, 90.00, 90.00 degrees
Fractional coordinates of all 5 atoms:
Rb  0.000  0.000  0.500
Rb  0.000  0.500  0.000
Rb  0.500  0.000  0.000
Ta  0.000  0.000  0.000
Cu  0.500  0.500  0.500



Which value of energy of formation does entry 1 give? -0.406 eV per atom



Among the records above, which one has the lowest magnetic moment? Rb3TaCu



Which of these has the highest ρ? EuHoCuSn